1.
{
  "formula": "Cs2NaAlCl6",
  "functional": "GGA-PBE",
  "state": "relaxed",
  "formation_energy_uncorrected_ev_per_atom": -1.807,
  "dft_energy_ev_per_atom": -3.5920,
  "density_g_cm3": 3.081,
  "volume_a3_per_atom": 28.49,
  "lattice_angstrom": [[-2.178, -4.171, 5.692], [4.877, -4.293, 3.512], [2.149, 1.699, 6.859]],
  "species": ["Na", "Cs", "Cs", "Cl", "Cl", "Cl", "Cl", "Cl", "Cl", "Al"],
  "frac_coords": [[0.500, 0.500, 0.500], [0.750, 0.750, 0.750], [0.250, 0.250, 0.250], [0.774, 0.226, 0.226], [0.226, 0.774, 0.774], [0.226, 0.774, 0.226], [0.774, 0.774, 0.226], [0.774, 0.226, 0.774], [0.226, 0.226, 0.774], [0.000, 0.000, 0.000]]
}

2.
{
  "formula": "Cs2NbAlCl6",
  "functional": "GGA-PBE",
  "state": "relaxed",
  "formation_energy_uncorrected_ev_per_atom": -1.349,
  "dft_energy_ev_per_atom": -4.0085,
  "density_g_cm3": 3.120,
  "volume_a3_per_atom": 31.85,
  "lattice_angstrom": [[-5.928, -2.906, 3.899], [-2.936, -2.762, -6.522], [-1.692, -7.453, -0.589]],
  "species": ["Cs", "Cs", "Cl", "Cl", "Cl", "Cl", "Cl", "Cl", "Nb", "Al"],
  "frac_coords": [[0.750, 0.250, 0.500], [0.250, 0.750, 0.500], [0.232, 0.232, 0.535], [0.232, 0.768, 0.000], [0.768, 0.768, 0.465], [0.232, 0.232, 0.000], [0.768, 0.232, 0.000], [0.768, 0.768, 0.000], [0.000, 0.000, 0.000], [0.500, 0.500, 0.000]]
}

3.
{
  "formula": "CsAlNiCl6",
  "functional": "GGA-PBE",
  "state": "relaxed",
  "formation_energy_uncorrected_ev_per_atom": -1.326,
  "dft_energy_ev_per_atom": -3.7097,
  "density_g_cm3": 2.706,
  "volume_a3_per_atom": 29.41,
  "lattice_angstrom": [[-0.689, -3.146, 5.323], [4.497, -3.829, 1.955], [3.352, 5.957, 3.954]],
  "species": ["Ni", "Cs", "Cl", "Cl", "Cl", "Cl", "Cl", "Cl", "Al"],
  "frac_coords": [[0.667, 0.667, 0.500], [0.000, 0.000, 0.000], [0.008, 0.367, 0.330], [0.367, 0.008, 0.670], [0.625, 0.367, 0.670], [0.625, 0.008, 0.330], [0.367, 0.625, 0.330], [0.008, 0.625, 0.670], [0.333, 0.333, 0.500]]
}

4.
{
  "formula": "CsAl2OsCl",
  "functional": "GGA-PBE",
  "state": "relaxed",
  "formation_energy_uncorrected_ev_per_atom": 2.132,
  "dft_energy_ev_per_atom": -2.1512,
  "density_g_cm3": 3.220,
  "volume_a3_per_atom": 42.54,
  "lattice_angstrom": [[-3.896, -5.096, 0.798], [-0.533, -0.384, -5.049], [5.113, -3.947, -0.239]],
  "species": ["Os", "Cs", "Al", "Al", "Cl"],
  "frac_coords": [[0.000, 0.500, 0.000], [0.000, 0.000, 0.000], [0.500, 0.000, 0.000], [0.000, 0.000, 0.500], [0.500, 0.500, 0.500]]
}

5.
{
  "formula": "Cs2AlPCl6",
  "functional": "GGA-PBE",
  "state": "relaxed",
  "formation_energy_uncorrected_ev_per_atom": -1.264,
  "dft_energy_ev_per_atom": -3.4575,
  "density_g_cm3": 2.819,
  "volume_a3_per_atom": 31.60,
  "lattice_angstrom": [[7.987, 0.000, 0.000], [0.000, 7.987, 0.000], [3.994, 3.994, 4.953]],
  "species": ["P", "Cs", "Cs", "Al", "Cl", "Cl", "Cl", "Cl", "Cl", "Cl"],
  "frac_coords": [[0.000, 0.000, 0.000], [0.750, 0.250, 0.500], [0.250, 0.750, 0.500], [0.500, 0.500, 0.000], [0.702, 0.298, 0.000], [0.240, 0.240, 0.521], [0.760, 0.760, 0.479], [0.298, 0.298, 0.000], [0.298, 0.702, 0.000], [0.702, 0.702, 0.000]]
}

6.
{
  "formula": "CsAlPbCl6",
  "functional": "GGA-PBE",
  "state": "relaxed",
  "formation_energy_uncorrected_ev_per_atom": -1.520,
  "dft_energy_ev_per_atom": -3.6736,
  "density_g_cm3": 2.994,
  "volume_a3_per_atom": 35.73,
  "lattice_angstrom": [[-5.147, -3.453, 3.376], [1.023, -6.648, 2.139], [2.602, 2.499, 6.523]],
  "species": ["Cl", "Cl", "Cl", "Cl", "Cl", "Cl", "Al", "Pb", "Cs"],
  "frac_coords": [[0.058, 0.343, 0.313], [0.599, 0.058, 0.314], [0.599, 0.343, 0.686], [0.343, 0.599, 0.313], [0.059, 0.599, 0.686], [0.343, 0.059, 0.686], [0.333, 0.333, 0.500], [0.667, 0.667, 0.500], [0.000, 0.000, 0.000]]
}

7.
{
  "formula": "Cs2AlPdCl6",
  "functional": "GGA-PBE",
  "state": "relaxed",
  "formation_energy_uncorrected_ev_per_atom": -1.388,
  "dft_energy_ev_per_atom": -3.5604,
  "density_g_cm3": 3.726,
  "volume_a3_per_atom": 27.27,
  "lattice_angstrom": [[7.399, 0.000, 0.000], [0.000, 7.399, 0.000], [3.700, 3.700, 4.981]],
  "species": ["Cl", "Cl", "Cl", "Cl", "Cl", "Cl", "Pd", "Cs", "Cs", "Al"],
  "frac_coords": [[0.277, 0.277, 0.000], [0.723, 0.277, 0.000], [0.250, 0.250, 0.500], [0.723, 0.723, 0.000], [0.277, 0.723, 0.000], [0.750, 0.750, 0.500], [0.000, 0.000, 0.000], [0.250, 0.750, 0.500], [0.750, 0.250, 0.500], [0.500, 0.500, 0.000]]
}

8.
{
  "formula": "CsRb2AlCl6",
  "functional": "GGA-PBE",
  "state": "relaxed",
  "formation_energy_uncorrected_ev_per_atom": -1.797,
  "dft_energy_ev_per_atom": -3.5584,
  "density_g_cm3": 2.498,
  "volume_a3_per_atom": 36.14,
  "lattice_angstrom": [[-0.884, 6.381, 3.270], [-3.556, -4.174, 7.185], [10.087, -0.895, 4.472]],
  "species": ["Cl", "Cl", "Cl", "Cl", "Cl", "Cl", "Cl", "Cl", "Cl", "Cl", "Cl", "Cl", "Cs", "Cs", "Rb", "Rb", "Rb", "Rb", "Al", "Al"],
  "frac_coords": [[0.225, 0.008, 0.000], [0.275, 0.992, 0.500], [0.725, 0.992, 0.500], [0.235, 0.637, 0.000], [0.000, 0.815, 0.786], [0.735, 0.363, 0.500], [0.265, 0.363, 0.500], [0.000, 0.815, 0.214], [0.775, 0.008, 0.000], [0.500, 0.185, 0.714], [0.500, 0.185, 0.286], [0.765, 0.637, 0.000], [0.000, 0.674, 0.500], [0.500, 0.326, 0.000], [0.500, 0.836, 0.795], [0.500, 0.836, 0.205], [0.000, 0.164, 0.295], [0.000, 0.164, 0.705], [0.000, 0.815, 0.000], [0.500, 0.185, 0.500]]
}

9.
{
  "formula": "CsRb2AlCl6",
  "functional": "GGA-PBE",
  "state": "relaxed",
  "formation_energy_uncorrected_ev_per_atom": -1.761,
  "dft_energy_ev_per_atom": -3.5223,
  "density_g_cm3": 2.597,
  "volume_a3_per_atom": 34.76,
  "lattice_angstrom": [[7.892, 0.000, 0.000], [0.000, 7.892, 0.000], [3.946, 3.946, 5.581]],
  "species": ["Rb", "Rb", "Al", "Cl", "Cl", "Cl", "Cl", "Cl", "Cl", "Cs"],
  "frac_coords": [[0.250, 0.750, 0.500], [0.750, 0.250, 0.500], [0.500, 0.500, 0.000], [0.290, 0.710, 0.000], [0.710, 0.710, 0.580], [0.710, 0.290, 0.000], [0.710, 0.710, 0.000], [0.290, 0.290, 0.420], [0.290, 0.290, 0.000], [0.000, 0.000, 0.000]]
}

10.
{
  "formula": "CsRbAl2Cl8",
  "functional": "GGA-PBE",
  "state": "relaxed",
  "formation_energy_uncorrected_ev_per_atom": -1.795,
  "dft_energy_ev_per_atom": -3.8015,
  "density_g_cm3": 2.181,
  "volume_a3_per_atom": 35.28,
  "lattice_angstrom": [[-1.297, -6.649, 1.753], [4.661, -3.593, 3.784], [-3.320, -0.335, 10.240]],
  "species": ["Cl", "Cl", "Cl", "Cl", "Cl", "Cl", "Cl", "Cl", "Al", "Al", "Cs", "Rb"],
  "frac_coords": [[0.668, 0.050, 0.804], [0.332, 0.950, 0.196], [0.950, 0.523, 0.196], [0.828, 0.828, 0.517], [0.523, 0.332, 0.196], [0.477, 0.668, 0.804], [0.050, 0.477, 0.804], [0.172, 0.172, 0.483], [0.245, 0.245, 0.266], [0.755, 0.755, 0.734], [0.500, 0.500, 0.500], [0.000, 0.000, 0.000]]
}

11.
{
  "formula": "Cs2AlRhCl6",
  "functional": "GGA-PBE",
  "state": "relaxed",
  "formation_energy_uncorrected_ev_per_atom": -1.300,
  "dft_energy_ev_per_atom": -3.6877,
  "density_g_cm3": 3.826,
  "volume_a3_per_atom": 26.40,
  "lattice_angstrom": [[-4.901, -4.225, -3.165], [5.252, -3.467, -3.505], [0.552, -7.161, 0.508]],
  "species": ["Al", "Cl", "Cl", "Cl", "Cl", "Cl", "Cl", "Cs", "Cs", "Rh"],
  "frac_coords": [[0.500, 0.500, 0.000], [0.734, 0.734, 0.532], [0.266, 0.734, 0.000], [0.734, 0.734, 0.000], [0.734, 0.266, 0.000], [0.266, 0.266, 0.468], [0.266, 0.266, 0.000], [0.250, 0.750, 0.500], [0.750, 0.250, 0.500], [0.000, 0.000, 0.000]]
}

12.
{
  "formula": "Cs2AlSbCl6",
  "functional": "GGA-PBE",
  "state": "relaxed",
  "formation_energy_uncorrected_ev_per_atom": -1.349,
  "dft_energy_ev_per_atom": -3.4143,
  "density_g_cm3": 3.069,
  "volume_a3_per_atom": 33.94,
  "lattice_angstrom": [[-7.820, -1.657, -1.275], [0.854, -7.038, 3.907], [-4.704, -2.019, 5.778]],
  "species": ["Sb", "Cl", "Cl", "Cl", "Cl", "Cl", "Cl", "Cs", "Cs", "Al"],
  "frac_coords": [[0.000, 0.000, 0.000], [0.701, 0.299, 0.000], [0.299, 0.701, 0.000], [0.743, 0.743, 0.515], [0.257, 0.257, 0.485], [0.299, 0.299, 0.000], [0.701, 0.701, 0.000], [0.250, 0.750, 0.500], [0.750, 0.250, 0.500], [0.500, 0.500, 0.000]]
}

13.
{
  "formula": "Cs2AlSeCl6",
  "functional": "GGA-PBE",
  "state": "relaxed",
  "formation_energy_uncorrected_ev_per_atom": -1.319,
  "dft_energy_ev_per_atom": -3.3206,
  "density_g_cm3": 2.989,
  "volume_a3_per_atom": 32.47,
  "lattice_angstrom": [[8.037, 0.000, 0.000], [0.000, 8.037, 0.000], [4.018, 4.018, 5.028]],
  "species": ["Cl", "Cl", "Cl", "Cl", "Cl", "Cl", "Cs", "Cs", "Se", "Al"],
  "frac_coords": [[0.700, 0.300, 0.000], [0.300, 0.700, 0.000], [0.240, 0.240, 0.519], [0.700, 0.700, 0.000], [0.760, 0.760, 0.481], [0.300, 0.300, 0.000], [0.750, 0.250, 0.500], [0.250, 0.750, 0.500], [0.000, 0.000, 0.000], [0.500, 0.500, 0.000]]
}

14.
{
  "formula": "CsAl2SnCl8",
  "functional": "GGA-PBE",
  "state": "relaxed",
  "formation_energy_uncorrected_ev_per_atom": -1.403,
  "dft_energy_ev_per_atom": -3.6623,
  "density_g_cm3": 2.363,
  "volume_a3_per_atom": 34.50,
  "lattice_angstrom": [[-4.849, 0.140, 4.555], [1.155, -2.241, 6.158], [1.885, 9.189, 6.585]],
  "species": ["Cl", "Cl", "Cl", "Cl", "Cl", "Cl", "Cl", "Cl", "Sn", "Al", "Al", "Cs"],
  "frac_coords": [[0.949, 0.567, 0.204], [0.567, 0.280, 0.204], [0.433, 0.720, 0.796], [0.051, 0.433, 0.796], [0.822, 0.822, 0.533], [0.178, 0.178, 0.467], [0.280, 0.949, 0.204], [0.720, 0.051, 0.796], [0.000, 0.000, 0.000], [0.244, 0.244, 0.267], [0.756, 0.756, 0.733], [0.500, 0.500, 0.500]]
}

15.
{
  "formula": "CsSr2AlCl8",
  "functional": "GGA-PBE",
  "state": "relaxed",
  "formation_energy_uncorrected_ev_per_atom": -1.992,
  "dft_energy_ev_per_atom": -3.8868,
  "density_g_cm3": 2.686,
  "volume_a3_per_atom": 31.88,
  "lattice_angstrom": [[6.484, 0.038, 0.002], [0.087, 6.449, 0.004], [0.015, 0.026, 9.150]],
  "species": ["Sr", "Sr", "Cl", "Cl", "Cl", "Cl", "Cl", "Cl", "Cl", "Cl", "Al", "Cs"],
  "frac_coords": [[0.500, 0.500, 0.240], [0.500, 0.500, 0.760], [0.704, 0.759, 0.999], [0.157, 0.797, 0.821], [0.843, 0.203, 0.179], [0.578, 0.738, 0.499], [0.846, 0.206, 0.821], [0.154, 0.794, 0.179], [0.422, 0.262, 0.501], [0.296, 0.241, 0.001], [0.000, 0.000, 0.000], [0.000, 0.000, 0.500]]
}

16.
{
  "formula": "CsSrAlCl6",
  "functional": "GGA-PBE",
  "state": "relaxed",
  "formation_energy_uncorrected_ev_per_atom": -1.949,
  "dft_energy_ev_per_atom": -3.8775,
  "density_g_cm3": 2.371,
  "volume_a3_per_atom": 35.82,
  "lattice_angstrom": [[-6.948, -0.629, -1.005], [-3.234, -6.093, 1.450], [-1.224, 2.321, 7.019]],
  "species": ["Al", "Cl", "Cl", "Cl", "Cl", "Cl", "Cl", "Cs", "Sr"],
  "frac_coords": [[0.333, 0.333, 0.500], [0.600, 0.343, 0.685], [0.057, 0.600, 0.685], [0.057, 0.343, 0.315], [0.343, 0.057, 0.685], [0.600, 0.057, 0.315], [0.343, 0.600, 0.315], [0.000, 0.000, 0.000], [0.667, 0.667, 0.500]]
}

17.
{
  "formula": "Cs2TiAlCl6",
  "functional": "GGA-PBE",
  "state": "relaxed",
  "formation_energy_uncorrected_ev_per_atom": -1.535,
  "dft_energy_ev_per_atom": -3.9774,
  "density_g_cm3": 2.988,
  "volume_a3_per_atom": 30.75,
  "lattice_angstrom": [[-5.187, 0.663, -5.483], [5.308, -1.480, -5.200], [-1.018, -5.641, -4.954]],
  "species": ["Cl", "Cl", "Cl", "Cl", "Cl", "Cl", "Ti", "Al", "Cs", "Cs"],
  "frac_coords": [[0.229, 0.229, 0.000], [0.229, 0.771, 0.000], [0.771, 0.771, 0.000], [0.771, 0.771, 0.458], [0.229, 0.229, 0.542], [0.771, 0.229, 0.000], [0.000, 0.000, 0.000], [0.500, 0.500, 0.000], [0.750, 0.250, 0.500], [0.250, 0.750, 0.500]]
}

18.
{
  "formula": "CsAlTlCl6",
  "functional": "GGA-PBE",
  "state": "relaxed",
  "formation_energy_uncorrected_ev_per_atom": -1.347,
  "dft_energy_ev_per_atom": -3.3515,
  "density_g_cm3": 3.017,
  "volume_a3_per_atom": 35.28,
  "lattice_angstrom": [[6.995, 0.000, 0.000], [3.498, 6.058, 0.000], [0.000, 0.000, 7.493]],
  "species": ["Cl", "Cl", "Cl", "Cl", "Cl", "Cl", "Tl", "Cs", "Al"],
  "frac_coords": [[0.056, 0.347, 0.313], [0.597, 0.056, 0.313], [0.347, 0.056, 0.687], [0.597, 0.347, 0.687], [0.347, 0.597, 0.313], [0.056, 0.597, 0.687], [0.667, 0.667, 0.500], [0.000, 0.000, 0.000], [0.333, 0.333, 0.500]]
}

19.
{
  "formula": "Cs2AlTlCl6",
  "functional": "GGA-PBE",
  "state": "relaxed",
  "formation_energy_uncorrected_ev_per_atom": -1.639,
  "dft_energy_ev_per_atom": -3.5287,
  "density_g_cm3": 3.105,
  "volume_a3_per_atom": 37.97,
  "lattice_angstrom": [[-5.700, -4.436, -3.061], [4.972, -5.391, -1.446], [-3.600, 0.105, 6.551]],
  "species": ["Al", "Cl", "Cl", "Cl", "Cl", "Cl", "Cl", "Tl", "Cs", "Cs"],
  "frac_coords": [[0.000, 0.000, 0.000], [0.825, 0.702, 0.851], [0.825, 0.149, 0.851], [0.825, 0.149, 0.298], [0.175, 0.851, 0.702], [0.175, 0.298, 0.149], [0.175, 0.851, 0.149], [0.500, 0.000, 0.000], [0.156, 0.333, 0.667], [0.844, 0.667, 0.333]]
}

20.
{
  "formula": "CsAlTl2Cl6",
  "functional": "GGA-PBE",
  "state": "relaxed",
  "formation_energy_uncorrected_ev_per_atom": -1.384,
  "dft_energy_ev_per_atom": -3.4245,
  "density_g_cm3": 3.379,
  "volume_a3_per_atom": 38.40,
  "lattice_angstrom": [[6.915, 0.000, 0.000], [0.000, 7.452, 0.000], [0.000, 0.000, 7.452]],
  "species": ["Cs", "Cl", "Cl", "Cl", "Cl", "Cl", "Cl", "Tl", "Tl", "Al"],
  "frac_coords": [[0.515, 0.500, 0.500], [0.733, 0.789, 0.211], [0.733, 0.211, 0.789], [0.330, 0.000, 0.000], [0.044, 0.500, 0.500], [0.733, 0.789, 0.789], [0.733, 0.211, 0.211], [0.991, 0.000, 0.500], [0.991, 0.500, 0.000], [0.645, 0.000, 0.000]]
}